# 1
This record from the Alexandria database describes a geometry-optimized Cs2ZnPt2 structure. The functional is PBE.

Cell: 6.8405 6.8405 5.8416 Å, 90.00 90.00 90.00°
With the nearest neighbours (Å) after each atom.
Space group P4/mbm (No. 127)
Inequivalent atoms, fractional coordinates:
Cs1 0.1818 0.3182 0.0000 x4  6 Pt 3.41-3.66, 5 Cs 3.52-3.55
Zn1 0.0000 0.0000 0.5000 x2  4 Pt 2.66
Pt1 0.1363 0.6363 0.5000 x4  1 Pt 2.64, 2 Zn 2.66

Summary:
**V**: 27.33 Å³/atom
**DFT formation energy**: 0.139 eV per formula unit
**Fermi-level density of states**: 0.56 states/eV/f.u.

---

# 2
This record from the Alexandria database describes a geometry-optimized Tm8Bi2B structure. The functional is PBE.

Cell: 18.5646 4.1362 8.0493 Å, 90.00 95.06 90.00°
With the nearest neighbours (Å) after each atom.
Space group C2/m (No. 12)
Inequivalent atoms, fractional coordinates:
Tm1 0.0054 0.0000 0.2030 x4  2 B 2.63
Tm2 0.0917 0.5000 0.5245 x4  2 Bi 3.21, 5 Tm 3.35-3.58
Tm3 0.1339 0.5000 0.0387 x4  1 B 2.48
Tm4 0.2078 0.0000 0.3575 x4  3 Bi 3.17-3.41, 6 Tm 3.35-3.48
Bi1 0.1800 0.0000 0.7711 x4  8 Tm 3.16-3.47
B1 0.0000 0.5000 0.0000 x2  6 Tm 2.48-2.63

Summary:
**V**: 27.98 Å³/atom
**DFT formation energy**: -2.857 eV per formula unit
**Fermi-level density of states**: 12.83 states/eV/f.u.

---

# 3
This record from the Alexandria database describes a geometry-optimized Li3La2GaNi12 structure. The functional is PBE.

Cell: 5.9532 5.9532 26.0679 Å, 90.00 90.00 120.00°
With the nearest neighbours (Å) after each atom.
Space group R-3m (No. 166, hexagonal axes)
Inequivalent atoms, fractional coordinates:
Li1 0.0000 0.5000 0.0000 x9  6 Ni 2.32-2.49
La1 0.0000 0.0000 0.1499 x6  6 Ni 2.94-3.05
Ga1 0.0000 0.0000 0.5000 x3  6 Ni 2.37
Ni1 0.0523 0.5262 0.0948 x18  4 Ni 2.36-2.51, 1 Ga 2.37, 1 Li 2.49
Ni2 0.0717 0.5358 0.6172 x18  2 Li 2.32, 4 Ni 2.34-2.36

Summary:
**V**: 14.82 Å³/atom
**DFT formation energy**: 1.798 eV per formula unit
**Fermi-level density of states**: 21.67 states/eV/f.u.

---

# 4
This record from the Alexandria database describes a geometry-optimized AgBPt3 structure. The functional is PBE.

Cell: 2.8065 5.5813 5.6272 Å, 119.72 104.27 90.18°
With the nearest neighbours (Å) after each atom.
Space group P1 (No. 1)
Inequivalent atoms, fractional coordinates:
Ag1 0.0000 0.0000 0.0000 x1  2 Ag 2.81, 9 Pt 2.85-3.14, 2 B 3.10-3.11
B1 0.1449 0.6446 0.2899 x1  6 Pt 2.17-2.19
Pt1 0.4682 0.4654 0.9307 x1  2 B 2.19
Pt2 0.7326 0.4807 0.4722 x1  2 B 2.17-2.18
Pt3 0.7366 0.9912 0.4719 x1  2 B 2.17-2.18

Summary:
**V**: 14.67 Å³/atom
**DFT formation energy**: -1.069 eV per formula unit
**Fermi-level density of states**: 1.85 states/eV/f.u.

---

Which of these has the highest V? Tm8Bi2B